## Cs3BaAc2Te6 (GGA-PBE)

Data for a relaxed Cs3BaAc2Te6 crystal.

Results
Symmetry = C2/m
Mass density = 5.03 g/cm³
Formation energy from raw total energies = -1.386 eV per atom
Raw total energy = -4.02 eV per atom

Cell lengths 8.6350, 8.6350, 9.4184 Å; angles 98.80, 98.80, 120.00 degrees
With the nearest neighbours (Å) after each atom.
Positions (direct):
1 Cs 0.1626 0.8374 0.5000  6 Te 3.85-3.97
2 Cs 0.8374 0.1626 0.5000  6 Te 3.85-3.97
3 Cs 0.5000 0.5000 0.5000  6 Te 3.83-3.96
4 Ba 0.0000 0.0000 0.0000  6 Te 3.52-3.53
5 Ac 0.3330 0.6670 0.0000  6 Te 3.36
6 Ac 0.6670 0.3330 0.0000  6 Te 3.36
7 Te 0.9315 0.5830 0.7954  2 Ac 3.36, 1 Ba 3.53
8 Te 0.7194 0.7194 0.2032  2 Ac 3.36, 1 Ba 3.52
9 Te 0.0685 0.4170 0.2046  2 Ac 3.36, 1 Ba 3.53
10 Te 0.5830 0.9315 0.7954  2 Ac 3.36, 1 Ba 3.53
11 Te 0.2806 0.2806 0.7968  2 Ac 3.36, 1 Ba 3.52
12 Te 0.4170 0.0685 0.2046  2 Ac 3.36, 1 Ba 3.53



## BaAc2Cu6 (GGA-PBE)

Data for a relaxed BaAc2Cu6 crystal.

Results
Symmetry = P6/mmm
Mass density = 7.65 g/cm³
Raw total energy = -3.99 eV per atom
DFT formation energy = -115 kJ/mol of formula units

Cell lengths 4.1925, 7.6237, 7.6234 Å; angles 120.00, 90.02, 90.00 degrees
With the nearest neighbours (Å) after each atom.
Positions (direct):
1 Ba 0.0000 0.0000 0.0000  12 Cu 3.32
2 Ac 0.0000 0.3334 0.6667  12 Cu 3.28
3 Ac 0.0000 0.6666 0.3333  12 Cu 3.28
4 Cu 0.4997 0.3375 0.3375  3 Cu 2.48-2.57
5 Cu 0.5003 0.6625 0.6625  3 Cu 2.48-2.57
6 Cu 0.5003 0.0000 0.6625  3 Cu 2.48-2.57
7 Cu 0.5000 0.6625 0.0000  3 Cu 2.48-2.57
8 Cu 0.5000 0.3375 0.0000  3 Cu 2.48-2.57
9 Cu 0.4997 0.0000 0.3375  3 Cu 2.48-2.57



## BaAc3Cu (GGA-PBE)

Data for a relaxed BaAc3Cu crystal.

Results
Symmetry = Pm-3m
Mass density = 6.58 g/cm³
Raw total energy = -3.59 eV per atom
DFT formation energy = 37 kJ/mol of formula units

Cell lengths 6.0612, 6.0612, 6.0612 Å; angles 90.00, 90.00, 90.00 degrees
With the nearest neighbours (Å) after each atom.
Positions (direct):
1 Ac 0.0000 0.5000 0.0000  2 Cu 3.03
2 Ac 0.0000 0.0000 0.5000  2 Cu 3.03
3 Ac 0.5000 0.0000 0.0000  2 Cu 3.03
4 Ba 0.5000 0.5000 0.5000  12 Ac 4.29
5 Cu 0.0000 0.0000 0.0000  6 Ac 3.03



## BaAcCu (GGA-PBE)

Data for a relaxed BaAcCu crystal.

Results
Symmetry = I4mm
Mass density = 6.35 g/cm³
Raw total energy = -3.36 eV per atom
DFT formation energy = 5 kJ/mol of formula units

Cell lengths 3.9403, 3.9403, 7.7230 Å; angles 104.78, 104.78, 90.00 degrees
With the nearest neighbours (Å) after each atom.
Positions (direct):
1 Ac 0.2879 0.2879 0.5757  4 Cu 3.18
2 Ba 0.0310 0.0310 0.0620  4 Cu 3.53, 1 Ac 3.70, 4 Ba 3.94
3 Cu 0.6811 0.6811 0.3623  4 Ac 3.18, 4 Ba 3.53



## BaAcCu10 (GGA-PBE)

Data for a relaxed BaAcCu10 crystal.

Results
Symmetry = Pmmm
Mass density = 8.12 g/cm³
Raw total energy = -3.96 eV per atom
DFT formation energy = -54 kJ/mol of formula units

Cell lengths 4.0052, 5.4761, 9.3247 Å; angles 90.00, 90.00, 90.00 degrees
With the nearest neighbours (Å) after each atom.
Positions (direct):
1 Ba 0.0000 0.0000 0.0000  18 Cu 3.14-3.43
2 Ac 0.0000 0.5000 0.5000  18 Cu 3.09-3.39
3 Cu 0.0000 0.0000 0.3363  6 Cu 2.52-2.55
4 Cu 0.0000 0.5000 0.8314  6 Cu 2.55
5 Cu 0.0000 0.5000 0.1686  6 Cu 2.55
6 Cu 0.0000 0.0000 0.6637  6 Cu 2.52-2.55
7 Cu 0.5000 0.0000 0.5000  8 Cu 2.52-2.66
8 Cu 0.5000 0.5000 0.0000  8 Cu 2.55-2.75
9 Cu 0.5000 0.2557 0.2576  8 Cu 2.55-2.80
10 Cu 0.5000 0.7443 0.7424  8 Cu 2.55-2.80
11 Cu 0.5000 0.7443 0.2576  8 Cu 2.55-2.80
12 Cu 0.5000 0.2557 0.7424  8 Cu 2.55-2.80



## Ba2AcCu (GGA-PBE)

Data for a relaxed Ba2AcCu crystal.

Results
Symmetry = R-3m
Mass density = 5.07 g/cm³
Raw total energy = -2.74 eV per atom
DFT formation energy = 105 kJ/mol of formula units

Cell lengths 4.1981, 4.1981, 12.3681 Å; angles 80.23, 80.23, 60.00 degrees
With the nearest neighbours (Å) after each atom.
Positions (direct):
1 Ac 0.0000 0.0000 0.0000  2 Ba 4.02, 6 Ac 4.20
2 Ba 0.1105 0.1105 0.6685  3 Cu 3.17
3 Ba 0.8895 0.8895 0.3315  3 Cu 3.17
4 Cu 0.5000 0.5000 0.5000  6 Ba 3.17



## BaAcCu4 (GGA-PBE)

Data for a relaxed BaAcCu4 crystal.

Results
Symmetry = F-43m
Mass density = 8.09 g/cm³
Raw total energy = -3.61 eV per atom
DFT formation energy = 72 kJ/mol of formula units

Cell lengths 5.6418, 5.6418, 5.6418 Å; angles 60.00, 60.00, 60.00 degrees
With the nearest neighbours (Å) after each atom.
Positions (direct):
1 Ac 0.2500 0.2500 0.2500  12 Cu 3.30, 4 Ba 3.45
2 Ba 0.0000 0.0000 0.0000  12 Cu 3.31, 4 Ac 3.45
3 Cu 0.6228 0.6228 0.1315  6 Cu 2.77-2.87
4 Cu 0.6228 0.1315 0.6228  6 Cu 2.77-2.87
5 Cu 0.6228 0.6228 0.6228  6 Cu 2.77-2.87
6 Cu 0.1315 0.6228 0.6228  6 Cu 2.77-2.87



## BaAcCu (GGA-PBE)

Data for a relaxed BaAcCu crystal.

Results
Symmetry = P3m1
Mass density = 5.71 g/cm³
Raw total energy = -3.28 eV per atom
DFT formation energy = 28 kJ/mol of formula units

Cell lengths 7.1861, 4.4717, 4.4717 Å; angles 120.00, 90.00, 90.00 degrees
With the nearest neighbours (Å) after each atom.
Positions (direct):
1 Ac 0.2388 0.3333 0.6667  3 Cu 3.02
2 Ba 0.7416 0.6667 0.3333  3 Cu 3.26
3 Cu 0.0197 0.0000 0.0000  3 Ac 3.02, 3 Ba 3.26



## Ba2AcCu (GGA-PBE)

Data for a relaxed Ba2AcCu crystal.

Results
Symmetry = P4/mmm
Mass density = 5.69 g/cm³
Raw total energy = -2.91 eV per atom
DFT formation energy = 39 kJ/mol of formula units

Cell lengths 3.9974, 3.9974, 10.3287 Å; angles 90.00, 90.00, 90.00 degrees
With the nearest neighbours (Å) after each atom.
Positions (direct):
1 Ac 0.5000 0.5000 0.5000  4 Ac 4.00, 8 Ba 4.30
2 Ba 0.0000 0.0000 0.8139  4 Cu 3.42
3 Ba 0.0000 0.0000 0.1861  4 Cu 3.42
4 Cu 0.5000 0.5000 0.0000  8 Ba 3.42



## BaAcCu2Ge2 (GGA-PBE)

Data for a relaxed BaAcCu2Ge2 crystal.

Results
Symmetry = P-3m1
Mass density = 6.91 g/cm³
Raw total energy = -4.40 eV per atom
DFT formation energy = -281 kJ/mol of formula units

Cell lengths 4.3530, 4.3530, 9.3200 Å; angles 90.00, 90.00, 120.00 degrees
With the nearest neighbours (Å) after each atom.
Positions (direct):
1 Ba 0.0000 0.0000 0.5000  6 Ge 3.52, 6 Cu 3.52
2 Ac 0.0000 0.0000 0.0000  6 Cu 3.34, 6 Ge 3.34
3 Cu 0.6667 0.3333 0.2355  3 Ge 2.51
4 Cu 0.3333 0.6667 0.7645  3 Ge 2.51
5 Ge 0.6667 0.3333 0.7643  3 Cu 2.51
6 Ge 0.3333 0.6667 0.2357  3 Cu 2.51



## BaAcCu2H6 (GGA-PBE)

Data for a relaxed BaAcCu2H6 crystal.

Results
Symmetry = C2/c
Mass density = 5.37 g/cm³
Raw total energy = -3.73 eV per atom

Cell lengths 6.8113, 6.8113, 7.5389 Å; angles 107.79, 107.79, 97.17 degrees
With the nearest neighbours (Å) after each atom.
Positions (direct):
1 Ba 0.1399 0.8601 0.2500  10 H 2.71-2.96
2 Ba 0.8601 0.1399 0.7500  10 H 2.71-2.96
3 Ac 0.6079 0.3921 0.2500  8 H 2.49-2.62
4 Ac 0.3921 0.6079 0.7500  8 H 2.49-2.62
5 Cu 0.3713 0.1359 0.7464  3 H 1.59-1.63
6 Cu 0.8641 0.6287 0.7536  3 H 1.59-1.63
7 Cu 0.6287 0.8641 0.2536  3 H 1.59-1.63
8 Cu 0.1359 0.3713 0.2464  3 H 1.59-1.63
9 H 0.9202 0.4291 0.1458  1 Cu 1.59
10 H 0.5709 0.0798 0.3542  1 Cu 1.59
11 H 0.0798 0.5709 0.8542  1 Cu 1.59
12 H 0.4291 0.9202 0.6458  1 Cu 1.59
13 H 0.2114 0.1787 0.1166  1 Cu 1.62
14 H 0.8213 0.7886 0.3834  1 Cu 1.62
15 H 0.7886 0.8213 0.8834  1 Cu 1.62
16 H 0.1787 0.2114 0.6166  1 Cu 1.62
17 H 0.3457 0.5605 0.3960  1 Cu 1.63
18 H 0.4395 0.6543 0.1040  1 Cu 1.63
19 H 0.6543 0.4395 0.6040  1 Cu 1.63
20 H 0.5605 0.3457 0.8960  1 Cu 1.63



## BaAcCuHg (GGA-PBE)

Data for a relaxed BaAcCuHg crystal.

Results
Symmetry = F-43m
Mass density = 8.09 g/cm³
Raw total energy = -2.80 eV per atom
DFT formation energy = -73 kJ/mol of formula units

Cell lengths 5.6709, 5.6709, 5.6709 Å; angles 60.00, 60.00, 60.00 degrees
With the nearest neighbours (Å) after each atom.
Positions (direct):
1 Ac 0.5000 0.5000 0.5000  4 Hg 3.47, 4 Cu 3.47
2 Hg 0.7500 0.7500 0.7500  4 Ac 3.47, 4 Ba 3.47
3 Cu 0.2500 0.2500 0.2500  4 Ba 3.47, 4 Ac 3.47
4 Ba 0.0000 0.0000 0.0000  4 Cu 3.47, 4 Hg 3.47



## BaAcInCu (GGA-PBE)

Data for a relaxed BaAcInCu crystal.

Results
Symmetry = F-43m
Mass density = 6.75 g/cm³
Raw total energy = -3.36 eV per atom
DFT formation energy = -55 kJ/mol of formula units

Cell lengths 5.7360, 5.7360, 5.7360 Å; angles 60.00, 60.00, 60.00 degrees
With the nearest neighbours (Å) after each atom.
Positions (direct):
1 Ac 0.0000 0.0000 0.0000  4 In 3.51, 4 Cu 3.51
2 Ba 0.5000 0.5000 0.5000  4 In 3.51, 4 Cu 3.51
3 Cu 0.2500 0.2500 0.2500  4 Ba 3.51, 4 Ac 3.51
4 In 0.7500 0.7500 0.7500  4 Ac 3.51, 4 Ba 3.51



## BaAcCuIr (GGA-PBE)

Data for a relaxed BaAcCuIr crystal.

Results
Symmetry = F-43m
Mass density = 9.57 g/cm³
Raw total energy = -4.86 eV per atom
DFT formation energy = -45 kJ/mol of formula units

Cell lengths 5.3391, 5.3391, 5.3391 Å; angles 60.00, 60.00, 60.00 degrees
With the nearest neighbours (Å) after each atom.
Positions (direct):
1 Ac 0.0000 0.0000 0.0000  4 Cu 3.27, 4 Ir 3.27
2 Ir 0.7500 0.7500 0.7500  4 Ba 3.27, 4 Ac 3.27
3 Ba 0.5000 0.5000 0.5000  4 Ir 3.27, 4 Cu 3.27
4 Cu 0.2500 0.2500 0.2500  4 Ba 3.27, 4 Ac 3.27



## BaLiAcCu (GGA-PBE)

Data for a relaxed BaLiAcCu crystal.

Results
Symmetry = F-43m
Mass density = 5.67 g/cm³
Raw total energy = -2.89 eV per atom
DFT formation energy = 47 kJ/mol of formula units

Cell lengths 5.6483, 5.6483, 5.6483 Å; angles 60.00, 60.00, 60.00 degrees
With the nearest neighbours (Å) after each atom.
Positions (direct):
1 Ac 0.0000 0.0000 0.0000  4 Li 3.46, 4 Cu 3.46
2 Ba 0.5000 0.5000 0.5000  4 Li 3.46, 4 Cu 3.46
3 Cu 0.7500 0.7500 0.7500  4 Ba 3.46, 4 Ac 3.46
4 Li 0.2500 0.2500 0.2500  4 Ac 3.46, 4 Ba 3.46



## BaAcMgCu (GGA-PBE)

Data for a relaxed BaAcMgCu crystal.

Results
Symmetry = F-43m
Mass density = 5.61 g/cm³
Raw total energy = -2.85 eV per atom
DFT formation energy = 31 kJ/mol of formula units

Cell lengths 5.7426, 5.7426, 5.7426 Å; angles 60.00, 60.00, 60.00 degrees
With the nearest neighbours (Å) after each atom.
Positions (direct):
1 Mg 0.7500 0.7500 0.7500  4 Ba 3.52, 4 Ac 3.52
2 Ac 0.0000 0.0000 0.0000  4 Cu 3.52, 4 Mg 3.52
3 Ba 0.5000 0.5000 0.5000  4 Mg 3.52, 4 Cu 3.52
4 Cu 0.2500 0.2500 0.2500  4 Ba 3.52, 4 Ac 3.52



## BaAcCuN2 (GGA-PBE)

Data for a relaxed BaAcCuN2 crystal.

Results
Symmetry = P2/c
Mass density = 6.38 g/cm³
Formation energy from raw total energies = -0.487 eV per atom
Raw total energy = -5.84 eV per atom

Cell lengths 5.6088, 5.7915, 7.3064 Å; angles 90.15, 90.00, 90.00 degrees
With the nearest neighbours (Å) after each atom.
Positions (direct):
1 Ba 0.0010 0.5000 0.7500  4 N 2.87
2 Ba 0.9990 0.5000 0.2500  4 N 2.87
3 Ac 0.4997 0.0000 0.2500  4 N 2.59
4 Ac 0.5003 0.0000 0.7500  4 N 2.59
5 Cu 0.0000 0.0000 0.0000  2 N 1.87
6 Cu 0.0000 0.0000 0.5000  2 N 1.87
7 N 0.7449 0.7910 0.9996  1 Cu 1.87
8 N 0.7449 0.2090 0.5004  1 Cu 1.87
9 N 0.2551 0.7910 0.4996  1 Cu 1.87
10 N 0.2551 0.2090 0.0004  1 Cu 1.87



## BaAc2Cu2O6 (GGA-PBE)

Data for a relaxed BaAc2Cu2O6 crystal.

Results
Symmetry = R-3m
Mass density = 6.41 g/cm³
Formation energy from raw total energies = -1.908 eV per atom
Raw total energy = -6.28 eV per atom

Cell lengths 6.0111, 6.0111, 7.5840 Å; angles 66.65, 66.65, 60.00 degrees
With the nearest neighbours (Å) after each atom.
Positions (direct):
1 Ba 0.0000 0.0000 0.0000  6 O 2.67
2 Ac 0.8060 0.8060 0.5821  3 O 2.41
3 Ac 0.1940 0.1940 0.4179  3 O 2.41
4 Cu 0.4344 0.4344 0.6967  3 O 1.86
5 Cu 0.5656 0.5656 0.3033  3 O 1.86
6 O 0.7397 0.7397 0.3160  1 Cu 1.86
7 O 0.2045 0.7397 0.3160  1 Cu 1.86
8 O 0.7397 0.2045 0.3160  1 Cu 1.86
9 O 0.2603 0.7955 0.6840  1 Cu 1.86
10 O 0.7955 0.2603 0.6840  1 Cu 1.86
11 O 0.2603 0.2603 0.6840  1 Cu 1.86



## Ba3AcCu2O6 (GGA-PBE)

Data for a relaxed Ba3AcCu2O6 crystal.

Results
Symmetry = P-3m1
Mass density = 5.71 g/cm³
Formation energy from raw total energies = -1.881 eV per atom
Raw total energy = -5.87 eV per atom

Cell lengths 6.3933, 6.3933, 7.0872 Å; angles 90.00, 90.00, 120.00 degrees
With the nearest neighbours (Å) after each atom.
Positions (direct):
1 Ba 0.3333 0.6667 0.6722  9 O 3.21-3.31, 1 Cu 3.25
2 Ba 0.6667 0.3333 0.3278  9 O 3.21-3.31, 1 Cu 3.25
3 Ba 0.0000 0.0000 0.0000  6 O 2.73
4 Ac 0.0000 0.0000 0.5000  6 O 2.42
5 Cu 0.6667 0.3333 0.7862  3 O 1.89
6 Cu 0.3333 0.6667 0.2138  3 O 1.89
7 O 0.6640 0.8320 0.2824  1 Cu 1.89
8 O 0.1680 0.3360 0.2824  1 Cu 1.89
9 O 0.1680 0.8320 0.2824  1 Cu 1.89
10 O 0.8320 0.6640 0.7176  1 Cu 1.89
11 O 0.3360 0.1680 0.7176  1 Cu 1.89
12 O 0.8320 0.1680 0.7176  1 Cu 1.89



## BaAcCuO3 (GGA-PBE)

Data for a relaxed BaAcCuO3 crystal.

Results
Symmetry = Cmcm
Mass density = 7.23 g/cm³
Formation energy from raw total energies = -2.218 eV per atom
Raw total energy = -6.38 eV per atom

Cell lengths 3.7878, 6.2402, 9.7025 Å; angles 90.00, 90.00, 107.67 degrees
With the nearest neighbours (Å) after each atom.
Positions (direct):
1 Ba 0.7422 0.4845 0.7500  6 O 2.75-2.95
2 Ba 0.2578 0.5155 0.2500  6 O 2.75-2.95
3 Ac 0.0000 0.0000 0.5000  6 O 2.54-2.58
4 Ac 0.0000 0.0000 0.0000  6 O 2.54-2.58
5 Cu 0.4671 0.9341 0.7500  2 O 2.00
6 Cu 0.5329 0.0659 0.2500  2 O 2.00
7 O 0.6274 0.2548 0.4206  1 Cu 2.00
8 O 0.3726 0.7452 0.5794  1 Cu 2.00
9 O 0.3726 0.7452 0.9206  1 Cu 2.00
10 O 0.6274 0.2548 0.0794  1 Cu 2.00
11 O 0.0751 0.1502 0.7500  2 Cu 2.29
12 O 0.9249 0.8498 0.2500  2 Cu 2.29